Record 1
! DyZnPtAu PBE-GGA optimized geometry; values from VASP
&SYSTEM
  ibrav = 0, nat = 4, ntyp = 4
/
ATOMIC_SPECIES
Dy 162.50 Dy.upf
Zn 65.41 Zn.upf
Pt 195.08 Pt.upf
Au 196.97 Au.upf
CELL_PARAMETERS angstrom
3.907 -2.246 0.000
3.907 2.246 0.000
-2.590 0.000 4.496
ATOMIC_POSITIONS crystal
Dy 0.000 0.000 0.000
Zn 0.523 0.523 0.568
Pt 0.219 0.219 0.656
Au 0.779 0.779 0.336
! **Total moment**: 0.0 μB/cell
! **Energy**: -18.35 eV for the cell shown
! **Formation energy**: -3.16 eV per formula unit
! **Fermi-level density of states**: 0.4178 states/eV per atom
! **Space-group type**: Cm (8)

Record 2
! Pm4MgSe7 PBE-GGA optimized geometry; values from VASP
&SYSTEM
  ibrav = 0, nat = 12, ntyp = 3
/
ATOMIC_SPECIES
Pm 145.00 Pm.upf
Mg 24.30 Mg.upf
Se 78.96 Se.upf
CELL_PARAMETERS angstrom
6.728 -2.040 0.000
6.728 2.040 0.000
-3.297 0.000 11.845
ATOMIC_POSITIONS crystal
Pm 0.000 0.000 0.000
Pm 0.185 0.185 0.760
Pm 0.569 0.569 0.350
Pm 0.877 0.877 0.558
Mg 0.769 0.769 0.142
Se 0.158 0.158 0.213
Se 0.214 0.214 0.512
Se 0.391 0.391 0.087
Se 0.539 0.539 0.615
Se 0.631 0.631 0.926
Se 0.844 0.844 0.782
Se 0.913 0.913 0.340
! **Total moment**: 0.0 μB/cell
! **Energy**: -66.08 eV for the cell shown
! **ΔE_f (raw)**: -1.758 eV per atom
! **Space-group type**: Cm (8)

Record 3
! Mo5W4 PBE-GGA optimized geometry; values from VASP
&SYSTEM
  ibrav = 0, nat = 18, ntyp = 2
/
ATOMIC_SPECIES
Mo 95.94 Mo.upf
W 183.84 W.upf
CELL_PARAMETERS angstrom
8.086 0.000 0.000
-4.043 7.003 0.000
0.000 0.000 5.190
ATOMIC_POSITIONS crystal
Mo 0.000 0.302 0.250
Mo 0.000 0.698 0.750
Mo 0.302 0.000 0.250
Mo 0.302 0.302 0.750
Mo 0.333 0.667 0.000
Mo 0.333 0.667 0.500
Mo 0.667 0.333 0.000
Mo 0.667 0.333 0.500
Mo 0.698 0.000 0.750
Mo 0.698 0.698 0.250
W 0.000 0.000 0.000
W 0.000 0.000 0.500
W 0.000 0.367 0.750
W 0.000 0.633 0.250
W 0.367 0.000 0.750
W 0.367 0.367 0.250
W 0.633 0.000 0.250
W 0.633 0.633 0.750
! **Total moment**: 0.0 μB/cell
! **Energy**: -204.77 eV for the cell shown
! **Formation energy**: 3.59 eV per formula unit
! **Excess energy over the best structure of this formula in the dataset**: 418 meV/atom
! **Fermi-level density of states**: 0.8899 states/eV per atom
! **Space-group type**: P6_3/mcm (193)

Record 4
! K3Er2GaO6 PBE-GGA optimized geometry; values from VASP
&SYSTEM
  ibrav = 0, nat = 12, ntyp = 4
/
ATOMIC_SPECIES
K 39.10 K.upf
Er 167.26 Er.upf
Ga 69.72 Ga.upf
O 16.00 O.upf
CELL_PARAMETERS angstrom
2.888 -5.003 0.000
2.888 5.003 0.000
-1.919 0.000 6.218
ATOMIC_POSITIONS crystal
K 0.000 0.000 0.000
K 0.336 0.664 0.000
K 0.664 0.336 0.000
Er 0.167 0.833 0.500
Er 0.833 0.167 0.500
Ga 0.500 0.500 0.500
O 0.126 0.440 0.319
O 0.246 0.246 0.680
O 0.440 0.126 0.319
O 0.560 0.874 0.681
O 0.754 0.754 0.320
O 0.874 0.560 0.681
! **Total moment**: 0.0 μB/cell
! **Energy**: -73.62 eV for the cell shown
! **ΔE_f (raw)**: -2.369 eV per atom
! **Fermi-level density of states**: 0.0000 states/eV per atom
! **Space-group type**: C2/m (12)